Mg2Cd3Ga9: relaxed, GGA-PBE.

Values from the calculation:
The calculation puts the energy relative to the elements at 0.1 eV/f.u. The size of the total moment is 0.0 μB/f.u.

The structure in extended XYZ format:
```
14
Lattice="-2.239 4.539 7.160 2.239 -4.539 7.160 2.239 4.539 -7.160" Properties=species:S:1:pos:R:3 pbc="T T T"
Mg 0.000 1.950 0.000
Mg 0.000 7.128 0.000
Cd 0.000 0.000 2.586
Cd 0.000 0.000 7.160
Cd 0.000 0.000 11.734
Ga 2.239 0.000 0.000
Ga 2.239 2.118 -1.793
Ga 2.239 -1.304 4.390
Ga 2.239 2.118 1.793
Ga 2.239 1.304 4.390
Ga 0.000 3.235 2.770
Ga 0.000 2.421 5.367
Ga 0.000 5.842 2.770
Ga 0.000 2.421 8.954
```